VASP calculation (PBE) on a relaxed structure of Tc2HgTe.

- energy relative to the lowest polymorph listed for this composition (eV per atom) = 0.519
- theoretical density (g cm⁻³) = 11.7
- magnetization (μB per cell) = 0.000
- ΔE_f (raw) (kcal/mol of atoms) = 18.24
- DOS(E_F) (states/eV/atom) = 1.18

Unit cell a=3.187 b=5.179 c=9.014 alpha=90.00 beta=90.00 gamma=90.00
Space group Immm (No. 71)
Symmetry-distinct sites (fractional):
Tc1 0.000 0.000 0.229 [4 per cell]
Hg1 0.000 0.500 0.000 [2 per cell]
Te1 0.000 0.500 0.500 [2 per cell]

=====

VASP calculation (PBE) on a relaxed structure of TcHgTe2.

- theoretical density (g cm⁻³) = 8.4
- magnetization (μB per cell) = 0.000
- ΔE_f (raw) (kcal/mol of atoms) = 3.85
- DOS(E_F) (states/eV/atom) = 0.63

Unit cell a=10.651 b=3.340 c=6.772 alpha=90.00 beta=114.96 gamma=90.00
Space group Cm (No. 8)
Symmetry-distinct sites (fractional):
Tc1 0.000 0.000 0.000 [2 per cell]
Hg1 0.285 0.000 0.010 [2 per cell]
Te1 0.163 0.500 0.304 [2 per cell]
Te2 0.492 0.000 0.692 [2 per cell]

=====

VASP calculation (PBE) on a relaxed structure of TcHg4Te.

- theoretical density (g cm⁻³) = 12.4
- magnetization (μB per cell) = 4.107
- ΔE_f (raw) (kcal/mol of atoms) = 18.91
- DOS(E_F) (states/eV/atom) = 0.94

Unit cell a=8.196 b=8.196 c=8.196 alpha=90.00 beta=90.00 gamma=90.00
Space group F-43m (No. 216)
Symmetry-distinct sites (fractional):
Tc1 0.000 0.000 0.000 [4 per cell]
Hg1 0.126 0.126 0.374 [16 per cell]
Te1 0.250 0.250 0.750 [4 per cell]

=====

VASP calculation (PBE) on a relaxed structure of Tc2HgTe.

- energy relative to the lowest polymorph listed for this composition (eV per atom) = 0.337
- theoretical density (g cm⁻³) = 12.4
- magnetization (μB per cell) = 0.001
- ΔE_f (raw) (kcal/mol of atoms) = 14.03
- DOS(E_F) (states/eV/atom) = 1.07

Unit cell a=4.621 b=4.621 c=3.286 alpha=90.00 beta=90.00 gamma=90.00
Space group P4/mmm (No. 123)
Symmetry-distinct sites (fractional):
Tc1 0.000 0.500 0.000 [2 per cell]
Hg1 0.000 0.000 0.500 [1 per cell]
Te1 0.500 0.500 0.500 [1 per cell]

=====

Q: The lowest theoretical density belongs to which entry?
A: TcHgTe2

=====

Q: Which of these has the highest ΔE_f (raw)?
A: TcHg4Te

=====

Q: magnetization of number 2 (TcHgTe2)?
A: 0.000 μB per cell